Entry 1:
Density functional theory data (meta-GGA SCAN) for a crystal of CaZrSn2H relaxed with PBEsol.

Properties
Calculated density   3.49 g cm⁻³
N(E_F)   2.7 states/eV per cell
Calculated total energy   -22.340 eV per atom
SG   No. 123

Lattice parameters (Å, degrees): 5.446 5.446 5.939 90.00 90.00 90.00
Sites, in units of the cell vectors:
Ca 0.000 0.000 0.000
Zr 0.000 0.000 0.500
Sn 0.000 0.500 0.500
Sn 0.500 0.000 0.500
H 0.500 0.500 0.000

=====

Entry 2:
Density functional theory data (meta-GGA SCAN) for a crystal of Cd2NiH2 relaxed with PBEsol.

Properties
Calculated density   8.19 g cm⁻³
N(E_F)   1.7 states/eV per cell
Calculated total energy   -16.352 eV per atom
SG   No. 139

Lattice parameters (Å, degrees): 2.992 2.992 12.937 90.00 90.00 90.00
Sites, in units of the cell vectors:
Cd 0.000 0.000 0.131
Cd 0.000 0.000 0.869
Cd 0.500 0.500 0.369
Cd 0.500 0.500 0.631
Ni 0.000 0.000 0.500
Ni 0.500 0.500 0.000
H 0.000 0.500 0.250
H 0.000 0.500 0.750
H 0.500 0.000 0.250
H 0.500 0.000 0.750

=====

Entry 3:
Density functional theory data (meta-GGA SCAN) for a crystal of LaCoCu relaxed with PBEsol.

Properties
Calculated density   7.42 g cm⁻³
N(E_F)   4.4 states/eV per cell
ΔE_f   0.33 eV per atom
SG   No. 216

Lattice parameters (Å, degrees): 6.162 6.162 6.162 90.00 90.00 90.00
Sites, in units of the cell vectors:
La 0.000 0.000 0.000
La 0.000 0.500 0.500
La 0.500 0.000 0.500
La 0.500 0.500 0.000
Co 0.250 0.250 0.250
Co 0.250 0.750 0.750
Co 0.750 0.250 0.750
Co 0.750 0.750 0.250
Cu 0.000 0.000 0.500
Cu 0.000 0.500 0.000
Cu 0.500 0.000 0.000
Cu 0.500 0.500 0.500

=====

Entry 4:
Density functional theory data (meta-GGA SCAN) for a crystal of Cu2N2O relaxed with PBEsol.

Properties
Calculated density   6.64 g cm⁻³
N(E_F)   7.5 states/eV per cell
SG   No. 139
Formation energy (no corrections)   1.17 eV/atom

Lattice parameters (Å, degrees): 2.764 2.764 11.207 90.00 90.00 90.00
Sites, in units of the cell vectors:
Cu 0.000 0.000 0.108
Cu 0.000 0.000 0.892
Cu 0.500 0.500 0.392
Cu 0.500 0.500 0.608
N 0.000 0.500 0.250
N 0.000 0.500 0.750
N 0.500 0.000 0.250
N 0.500 0.000 0.750
O 0.000 0.000 0.500
O 0.500 0.500 0.000